1.
Entry from Alexandria via LeMat-Bulk: a geometry-optimized VCoB structure (PBE).

Output
Its density of states at the Fermi level is 5.48 states/eV/cell. The calculated density is 6.91 g/cm³. Its energy of formation from the pure elements is -493 meV/atom.

Unit cell a=6.624 b=6.624 c=2.946 alpha=90.00 beta=90.00 gamma=153.33
Fractional positions:
V  0.094  0.906  0.750
V  0.906  0.094  0.250
Co  0.297  0.703  0.750
Co  0.703  0.297  0.250
B  0.463  0.537  0.750
B  0.537  0.463  0.250

=====

2.
Entry from Alexandria via LeMat-Bulk: a geometry-optimized Sr2BeMo structure (PBE).

Output
Its density of states at the Fermi level is 3.92 states/eV/cell. The calculated density is 4.52 g/cm³. Its energy of formation from the pure elements is 1122 meV/atom.

Unit cell a=5.606 b=5.606 c=5.606 alpha=129.22 beta=129.22 gamma=74.66
Fractional positions:
Sr  0.000  0.000  0.000
Sr  0.750  0.250  0.500
Be  0.250  0.750  0.500
Mo  0.500  0.500  0.000